Entry 1:
Entry from the Alexandria database: BaSb3W after structural relaxation (PBE-GGA).

a = 5.3877 Å, b = 5.3877 Å, c = 5.3877 Å
α = 90.00°, β = 90.00°, γ = 90.00°
Last column: nearest neighbours and their distance in Å.
Space group Pm-3m (No. 221)
Unique sites:
Ba  0.0000  0.0000  0.0000 [1 per cell]  12 Sb 3.81
Sb  0.0000  0.5000  0.5000 [3 per cell]  2 W 2.69
W  0.5000  0.5000  0.5000 [1 per cell]  6 Sb 2.69

Summary:
offset from the most stable computed form: 0 meV per atom
DFT total energy: -5.388 eV per atom
E_form (uncorrected): 0.061 eV per atom


Entry 2:
Entry from the Alexandria database: Ho3Er2ThSe6 after structural relaxation (PBE-GGA).

a = 17.7089 Å, b = 4.0456 Å, c = 8.2224 Å
α = 90.00°, β = 102.02°, γ = 90.00°
Last column: nearest neighbours and their distance in Å.
Space group C2/m (No. 12)
Unique sites:
Ho  0.0000  0.0000  0.0000 [2 per cell]  6 Se 2.81-2.93
Ho  0.1594  0.5000  0.3353 [4 per cell]  6 Se 2.81-2.92
Er  0.1634  0.5000  0.8295 [4 per cell]  6 Se 2.79-2.91
Th  0.0000  0.0000  0.5000 [2 per cell]  6 Se 2.96-3.02
Se  0.0024  0.5000  0.7640 [4 per cell]  1 Er 2.79, 3 Ho 2.81, 2 Th 2.96
Se  0.1690  0.0000  0.0839 [4 per cell]  3 Er 2.90-2.91, 3 Ho 2.92-2.93
Se  0.1740  0.0000  0.5901 [4 per cell]  2 Er 2.86, 3 Ho 2.88-2.89, 1 Th 3.02

Summary:
DFT total energy: -5.938 eV per atom
E_form (uncorrected): -1.673 eV per atom


Entry 3:
Entry from the Alexandria database: Dy2Tl3BiSe6 after structural relaxation (PBE-GGA).

a = 7.3277 Å, b = 12.6940 Å, c = 8.1110 Å
α = 90.00°, β = 107.52°, γ = 90.00°
Last column: nearest neighbours and their distance in Å.
Space group C2/m (No. 12)
Unique sites:
Dy  0.0000  0.1668  0.0000 [4 per cell]  6 Se 2.90
Tl  0.0000  0.0000  0.5000 [2 per cell]  6 Se 3.29-3.35
Tl  0.0000  0.3340  0.5000 [4 per cell]  6 Se 3.29-3.35
Bi  0.0000  0.5000  0.0000 [2 per cell]  6 Se 2.97
Se  0.2275  0.0000  0.2071 [4 per cell]  2 Dy 2.90, 1 Bi 2.97
Se  0.2398  0.3293  0.2072 [8 per cell]  2 Dy 2.90, 1 Bi 2.97

Summary:
DFT total energy: -4.499 eV per atom
E_form (uncorrected): -1.074 eV per atom